Record 1
LuGaCuPd | GGA-PBE | optimized geometry

Cell lengths 6.457, 6.457, 6.457 Å; angles 90.00, 90.00, 90.00 degrees
Atoms (fractional coordinates):
Lu (0.000, 0.000, 0.000)
Lu (0.000, 0.500, 0.500)
Lu (0.500, 0.000, 0.500)
Lu (0.500, 0.500, 0.000)
Ga (0.000, 0.000, 0.500)
Ga (0.000, 0.500, 0.000)
Ga (0.500, 0.000, 0.000)
Ga (0.500, 0.500, 0.500)
Cu (0.250, 0.250, 0.750)
Cu (0.250, 0.750, 0.250)
Cu (0.750, 0.250, 0.250)
Cu (0.750, 0.750, 0.750)
Pd (0.250, 0.250, 0.250)
Pd (0.250, 0.750, 0.750)
Pd (0.750, 0.250, 0.750)
Pd (0.750, 0.750, 0.250)

- space-group type = F-43m
- energy above the most stable polymorph in this dataset (meV/atom) = 60.0

Record 2
LuGaCuPd | GGA-PBE | optimized geometry

Cell lengths 6.511, 6.511, 6.511 Å; angles 90.00, 90.00, 90.00 degrees
Atoms (fractional coordinates):
Lu (0.000, 0.000, 0.000)
Lu (0.000, 0.500, 0.500)
Lu (0.500, 0.000, 0.500)
Lu (0.500, 0.500, 0.000)
Ga (0.250, 0.250, 0.250)
Ga (0.250, 0.750, 0.750)
Ga (0.750, 0.250, 0.750)
Ga (0.750, 0.750, 0.250)
Cu (0.000, 0.000, 0.500)
Cu (0.000, 0.500, 0.000)
Cu (0.500, 0.000, 0.000)
Cu (0.500, 0.500, 0.500)
Pd (0.250, 0.250, 0.750)
Pd (0.250, 0.750, 0.250)
Pd (0.750, 0.250, 0.250)
Pd (0.750, 0.750, 0.750)

- space-group type = F-43m
- energy above the most stable polymorph in this dataset (meV/atom) = 196.3

Record 3
Lu2Ga2Cu3Pd | GGA-PBE | optimized geometry

Cell lengths 4.311, 4.311, 8.468 Å; angles 90.00, 90.00, 120.00 degrees
Atoms (fractional coordinates):
Lu (0.000, 0.000, 0.000)
Lu (0.333, 0.667, 0.497)
Ga (0.667, 0.333, 0.253)
Ga (0.667, 0.333, 0.745)
Cu (0.000, 0.000, 0.335)
Cu (0.000, 0.000, 0.661)
Cu (0.333, 0.667, 0.169)
Pd (0.333, 0.667, 0.832)

- space-group type = P3m1
- total DFT energy (no corrections) (Ry/atom) = -0.326

Record 4
LuGaCuPd | GGA-PBE | optimized geometry

Cell lengths 4.343, 4.343, 8.600 Å; angles 90.00, 90.00, 120.00 degrees
Atoms (fractional coordinates):
Lu (0.000, 0.000, 0.000)
Lu (0.333, 0.667, 0.500)
Ga (0.667, 0.333, 0.254)
Ga (0.667, 0.333, 0.746)
Cu (0.000, 0.000, 0.339)
Cu (0.000, 0.000, 0.661)
Pd (0.333, 0.667, 0.173)
Pd (0.333, 0.667, 0.827)

- space-group type = P-6m2
- energy above the most stable polymorph in this dataset (meV/atom) = 1.8

Record 5
Lu2Ga2CuPt3 | GGA-PBE | optimized geometry

Cell lengths 4.360, 4.360, 8.780 Å; angles 90.00, 90.00, 120.00 degrees
Atoms (fractional coordinates):
Lu (0.000, 0.000, 0.000)
Lu (0.333, 0.667, 0.496)
Ga (0.667, 0.333, 0.250)
Ga (0.667, 0.333, 0.763)
Cu (0.000, 0.000, 0.667)
Pt (0.000, 0.000, 0.350)
Pt (0.333, 0.667, 0.162)
Pt (0.333, 0.667, 0.820)

- space-group type = P3m1
- total DFT energy (no corrections) (Ry/atom) = -0.409

Record 6
LuGaCuPt | GGA-PBE | optimized geometry

Cell lengths 4.350, 4.350, 8.629 Å; angles 90.00, 90.00, 120.00 degrees
Atoms (fractional coordinates):
Lu (0.333, 0.667, 0.000)
Lu (0.667, 0.333, 0.500)
Ga (0.000, 0.000, 0.263)
Ga (0.000, 0.000, 0.763)
Cu (0.333, 0.667, 0.668)
Cu (0.667, 0.333, 0.168)
Pt (0.333, 0.667, 0.337)
Pt (0.667, 0.333, 0.837)

- space-group type = P6_3mc
- energy above the most stable polymorph in this dataset (meV/atom) = 0.0

Q: Number 5 is which compound?
A: Lu2Ga2CuPt3